Material: Pu2Pa4Ga3
Method: DFT, GGA-PBE
State: optimized geometry

## Properties
density of states at the Fermi level = 16.908 states/eV/f.u.
formation energy = -0.1838 eV per atom
calculated density = 13.43 g cm⁻³
space group = C2/c, No. 15

a = 5.2378 Å, b = 9.9367 Å, c = 9.9367 Å
α = 65.81°, β = 63.73°, γ = 63.73°
Last column: magnetic moment on the atom in μB.
Atoms (fractional coordinates):
Ga (0.2503, 0.9569, 0.7074)  -0.02
Ga (0.7497, 0.0431, 0.2926)  -0.02
Ga (0.7500, 0.3766, 0.6234)  -0.04
Ga (0.2500, 0.6234, 0.3766)  -0.04
Ga (0.7503, 0.7074, 0.9569)  -0.02
Ga (0.2497, 0.2926, 0.0431)  -0.02
Pa (0.5588, 0.0739, 0.8216)  0.11
Pa (0.4412, 0.9261, 0.1784)  0.11
Pa (0.0588, 0.8216, 0.0739)  0.11
Pa (0.0512, 0.1644, 0.4100)  0.45
Pa (0.4488, 0.5900, 0.8356)  0.45
Pa (0.9412, 0.1784, 0.9261)  0.11
Pa (0.9488, 0.8356, 0.5900)  0.45
Pa (0.5512, 0.4100, 0.1644)  0.45
Pu (0.5608, 0.7407, 0.4853)  5.04
Pu (0.9392, 0.5147, 0.2593)  5.04
Pu (0.0608, 0.4853, 0.7407)  5.04
Pu (0.4392, 0.2593, 0.5147)  5.04